# 1
! LaGeOs, relaxed, DFT PBE; values from VASP
&SYSTEM
  ibrav = 0, nat = 12, ntyp = 3
/
ATOMIC_SPECIES
Ge 72.64 Ge.upf
La 138.91 La.upf
Os 190.23 Os.upf
CELL_PARAMETERS angstrom
-2.2880 -4.7262 -4.9567
-2.8609 -1.4780 2.7298
-3.8536 10.4091 1.5970
ATOMIC_POSITIONS crystal
Ge 0.6153 0.5000 0.4263
Ge 0.8618 0.0000 0.6083
Ge 0.6153 0.0000 0.9263
Ge 0.8618 0.5000 0.1083
La 0.7968 0.0000 0.2899
La 0.7968 0.5000 0.7899
La 0.2079 0.0000 0.1466
La 0.2079 0.5000 0.6466
Os 0.2080 0.0000 0.8844
Os 0.4138 0.0000 0.4736
Os 0.4138 0.5000 0.9736
Os 0.2080 0.5000 0.3844
! Calculated volume: 274 Å³ per cell
! E: -86.86 eV/cell
! Formation enthalpy at 0 K: -314 meV/atom


# 2
! Sr3YAl, relaxed, DFT PBE; values from VASP
&SYSTEM
  ibrav = 0, nat = 5, ntyp = 3
/
ATOMIC_SPECIES
Y 88.91 Y.upf
Sr 87.62 Sr.upf
Al 26.98 Al.upf
CELL_PARAMETERS angstrom
-5.2945 3.0944 -1.0116
0.7238 -0.7641 -6.1255
-3.1741 -5.3358 0.2905
ATOMIC_POSITIONS crystal
Y 0.5000 0.5000 0.5000
Sr 0.0000 0.0000 0.5000
Sr 0.0000 0.5000 0.0000
Sr 0.5000 0.0000 0.0000
Al 0.0000 0.0000 0.0000
! Calculated volume: 240 Å³ per cell
! E: -13.32 eV/cell
! Formation enthalpy at 0 K: 386 meV/atom
! Offset from the most stable computed form: 0.0 meV/atom


# 3
! Er3ZnPt, relaxed, DFT PBE; values from VASP
&SYSTEM
  ibrav = 0, nat = 10, ntyp = 3
/
ATOMIC_SPECIES
Er 167.26 Er.upf
Pt 195.08 Pt.upf
Zn 65.41 Zn.upf
CELL_PARAMETERS angstrom
-0.8601 2.2275 -2.9990
1.4192 -6.7014 -5.3844
-7.1581 -4.7495 -1.4747
ATOMIC_POSITIONS crystal
Er 0.3632 0.0340 0.0861
Er 0.8638 0.0022 0.6711
Er 0.8638 0.3862 0.8214
Er 0.8627 0.7696 0.4382
Er 0.8627 0.6187 0.0545
Er 0.3632 0.3545 0.4070
Pt 0.3627 0.6943 0.2463
Pt 0.3638 0.1941 0.7465
Zn 0.8631 0.1938 0.2470
Zn 0.3632 0.6941 0.7463
! Calculated volume: 268 Å³ per cell
! E: -47.13 eV/cell
! Formation enthalpy at 0 K: -512 meV/atom
! Offset from the most stable computed form: 137.8 meV/atom


# 4
! Tb3Sc, relaxed, DFT PBE; values from VASP
&SYSTEM
  ibrav = 0, nat = 4, ntyp = 2
/
ATOMIC_SPECIES
Tb 158.93 Tb.upf
Sc 44.96 Sc.upf
CELL_PARAMETERS angstrom
3.5669 0.0000 0.0000
0.0000 5.5374 0.0000
0.0000 0.0000 6.1575
ATOMIC_POSITIONS crystal
Tb 0.5000 0.0000 0.4977
Tb 0.0000 0.5000 0.3293
Tb 0.5000 0.5000 0.8372
Sc 0.0000 0.0000 0.0024
! Calculated volume: 122 Å³ per cell
! E: -20.09 eV/cell
! Formation enthalpy at 0 K: 34 meV/atom
! Offset from the most stable computed form: 12.4 meV/atom


# 5
! BaGeF2, relaxed, DFT PBE; values from VASP
&SYSTEM
  ibrav = 0, nat = 4, ntyp = 3
/
ATOMIC_SPECIES
Ba 137.33 Ba.upf
F 19.00 F.upf
Ge 72.64 Ge.upf
CELL_PARAMETERS angstrom
0.0000 3.4292 3.4292
3.4292 0.0000 3.4292
3.4292 3.4292 0.0000
ATOMIC_POSITIONS crystal
Ba 0.5000 0.5000 0.5000
F 0.2500 0.2500 0.2500
F 0.7500 0.7500 0.7500
Ge 0.0000 0.0000 0.0000
! Raw formation energy: -1.786 eV per atom
! Calculated volume: 81 Å³ per cell
! E: -17.43 eV/cell
! Offset from the most stable computed form: 468.5 meV/atom


# 6
! Nb2Ag2Pd, relaxed, DFT PBE; values from VASP
&SYSTEM
  ibrav = 0, nat = 10, ntyp = 3
/
ATOMIC_SPECIES
Ag 107.87 Ag.upf
Nb 92.91 Nb.upf
Pd 106.42 Pd.upf
CELL_PARAMETERS angstrom
7.9191 0.0000 0.0000
0.0000 7.9191 0.0000
0.0000 0.0000 2.8915
ATOMIC_POSITIONS crystal
Ag 0.6227 0.1227 0.0000
Ag 0.3773 0.8773 0.0000
Ag 0.1227 0.3773 0.0000
Ag 0.8773 0.6227 0.0000
Nb 0.3244 0.1756 0.5000
Nb 0.1756 0.6756 0.5000
Nb 0.6756 0.8244 0.5000
Nb 0.8244 0.3244 0.5000
Pd 0.5000 0.5000 0.0000
Pd 0.0000 0.0000 0.0000
! Calculated volume: 181 Å³ per cell
! E: -57.36 eV/cell
! Formation enthalpy at 0 K: 471 meV/atom
! Offset from the most stable computed form: 0.0 meV/atom


# 7
! BaY2Cl, relaxed, DFT PBE; values from VASP
&SYSTEM
  ibrav = 0, nat = 4, ntyp = 3
/
ATOMIC_SPECIES
Y 88.91 Y.upf
Ba 137.33 Ba.upf
Cl 35.45 Cl.upf
CELL_PARAMETERS angstrom
7.3319 -0.0442 0.0000
-4.6427 5.6748 0.0000
0.0000 0.0000 3.7102
ATOMIC_POSITIONS crystal
Y 0.0000 0.0000 0.0000
Y 0.5000 0.5000 0.0000
Ba 0.5000 0.0000 0.5000
Cl 0.0000 0.5000 0.5000
! Raw formation energy: -0.089 eV per atom
! Calculated volume: 154 Å³ per cell
! E: -17.05 eV/cell
! Offset from the most stable computed form: 509.8 meV/atom


# 8
! Li2Al5Re2, relaxed, DFT PBE; values from VASP
&SYSTEM
  ibrav = 0, nat = 9, ntyp = 3
/
ATOMIC_SPECIES
Re 186.21 Re.upf
Al 26.98 Al.upf
Li 6.94 Li.upf
CELL_PARAMETERS angstrom
-2.5387 0.0416 -1.4359
-3.3344 -1.6916 2.8835
-5.1233 8.6792 6.3466
ATOMIC_POSITIONS crystal
Re 0.7146 0.4738 0.0969
Re 0.2854 0.5262 0.9031
Al 0.5760 0.0539 0.7942
Al 0.4240 0.9461 0.2058
Al 0.8546 0.5964 0.6944
Al 0.1454 0.4036 0.3056
Al 0.0000 0.0000 0.0000
Li 0.1360 0.1644 0.5637
Li 0.8640 0.8356 0.4363
! Calculated volume: 145 Å³ per cell
! E: -48.26 eV/cell
! Formation enthalpy at 0 K: -91 meV/atom


# 9
! Tb6ScTl2, relaxed, DFT PBE; values from VASP
&SYSTEM
  ibrav = 0, nat = 9, ntyp = 3
/
ATOMIC_SPECIES
Sc 44.96 Sc.upf
Tb 158.93 Tb.upf
Tl 204.38 Tl.upf
CELL_PARAMETERS angstrom
3.6485 0.0000 0.5792
1.5849 6.1579 1.7970
-0.0015 0.0771 11.7894
ATOMIC_POSITIONS crystal
Sc 0.0000 0.0000 0.0000
Tb 0.9786 0.6975 0.3453
Tb 0.3079 0.7919 0.5924
Tb 0.0214 0.3025 0.6547
Tb 0.3250 0.4714 0.8786
Tb 0.6921 0.2081 0.4076
Tb 0.6750 0.5286 0.1214
Tl 0.3631 0.0878 0.1860
Tl 0.6369 0.9122 0.8140
! Calculated volume: 264 Å³ per cell
! E: -40.15 eV/cell
! Formation enthalpy at 0 K: -145 meV/atom
! Offset from the most stable computed form: 0.0 meV/atom


# 10
! PrHo2TiN4, relaxed, DFT PBE; values from VASP
&SYSTEM
  ibrav = 0, nat = 16, ntyp = 4
/
ATOMIC_SPECIES
N 14.01 N.upf
Ho 164.93 Ho.upf
Ti 47.87 Ti.upf
Pr 140.91 Pr.upf
CELL_PARAMETERS angstrom
3.4221 0.0000 0.0000
-1.7111 5.9214 0.0000
0.0000 0.0000 11.8298
ATOMIC_POSITIONS crystal
N 0.7380 0.4761 0.6223
N 0.2620 0.5239 0.1223
N 0.2620 0.5239 0.3777
N 0.0000 0.0000 0.0000
N 0.7380 0.4761 0.8777
N 0.4275 0.8551 0.7500
N 0.5725 0.1449 0.2500
N 0.0000 0.0000 0.5000
Ho 0.3705 0.7411 0.9608
Ho 0.6295 0.2589 0.0392
Ho 0.3705 0.7411 0.5392
Ho 0.6295 0.2589 0.4608
Ti 0.1669 0.3337 0.2500
Ti 0.8331 0.6663 0.7500
Pr 0.9043 0.8086 0.2500
Pr 0.0957 0.1914 0.7500
! Raw formation energy: -1.485 eV per atom
! Calculated volume: 240 Å³ per cell
! E: -134.02 eV/cell


# 11
! TbPrAg2, relaxed, DFT PBE; values from VASP
&SYSTEM
  ibrav = 0, nat = 4, ntyp = 3
/
ATOMIC_SPECIES
Ag 107.87 Ag.upf
Pr 140.91 Pr.upf
Tb 158.93 Tb.upf
CELL_PARAMETERS angstrom
-0.4369 2.8662 -2.2783
-0.1470 -2.3063 -2.8733
-7.4892 -0.5109 0.7933
ATOMIC_POSITIONS crystal
Ag 0.0000 0.0000 0.2291
Ag 0.0000 0.0000 0.7709
Pr 0.5000 0.5000 0.5000
Tb 0.5000 0.5000 0.0000
! Calculated volume: 103 Å³ per cell
! E: -16.25 eV/cell
! Formation enthalpy at 0 K: -285 meV/atom


# 12
! Dy8Th2Hg, relaxed, DFT PBE; values from VASP
&SYSTEM
  ibrav = 0, nat = 11, ntyp = 3
/
ATOMIC_SPECIES
Dy 162.50 Dy.upf
Hg 200.59 Hg.upf
Th 232.04 Th.upf
CELL_PARAMETERS angstrom
5.3742 0.0000 -1.5428
-0.1314 6.3575 -0.4579
-0.0303 -0.1901 10.0261
ATOMIC_POSITIONS crystal
Dy 0.6604 0.1297 0.3207
Dy 0.9555 0.7365 0.9111
Dy 0.5775 0.6060 0.1550
Dy 0.0445 0.2635 0.0889
Dy 0.3396 0.8703 0.6793
Dy 0.1570 0.8133 0.3140
Dy 0.8430 0.1867 0.6860
Dy 0.4225 0.3940 0.8450
Hg 0.5000 0.0000 0.0000
Th 0.2442 0.3461 0.4884
Th 0.7558 0.6539 0.5116
! Calculated volume: 342 Å³ per cell
! E: -52.17 eV/cell
! Formation enthalpy at 0 K: -19 meV/atom


The N(E_F) results, record by record, are as follows: 6.07, 6.85, 8.86, 7.00, 2.39, 7.99, 5.86, 5.85, 11.23, 5.45, 2.33, 15.81 states/eV/cell.